[1]
First-principles (PBE) data for a relaxed Y2ScAl crystal, as listed in the Alexandria database.

Cell: 5.1908 6.6467 5.9055 Å, 90.00 90.00 90.00°
Last column: nearest neighbours and their distance in Å.
Fractional coordinates of all 8 atoms:
Y 0.2500 0.0036 0.1759  3 Sc 3.17-3.29, 4 Al 3.23-3.51, 4 Y 3.28-3.37
Y 0.2500 0.4964 0.1759  3 Sc 3.17-3.29, 4 Al 3.23-3.51, 4 Y 3.28-3.37
Y 0.7500 0.5036 0.8241  3 Sc 3.17-3.29, 4 Al 3.23-3.51, 4 Y 3.28-3.37
Y 0.7500 0.9964 0.8241  3 Sc 3.17-3.29, 4 Al 3.23-3.51, 4 Y 3.28-3.37
Sc 0.2500 0.2500 0.6356  4 Al 3.11-3.33, 6 Y 3.17-3.29
Sc 0.7500 0.7500 0.3644  4 Al 3.11-3.33, 6 Y 3.17-3.29
Al 0.2500 0.7500 0.6542  4 Sc 3.11-3.33, 6 Y 3.23-3.29
Al 0.7500 0.2500 0.3458  4 Sc 3.11-3.33, 6 Y 3.23-3.29

Summary:
SG: Pmmn
ΔH_f (0 K): -189.0 meV/atom



[2]
First-principles (PBE) data for a relaxed Pm5Pr2TmTh crystal, as listed in the Alexandria database.

Cell: 10.7409 10.7409 10.6222 Å, 90.00 90.00 149.23°
Last column: nearest neighbours and their distance in Å.
Fractional coordinates of all 18 atoms:
Pm 0.0143 0.9857 0.5000  2 Tm 3.36, 3 Pr 3.45-3.66, 2 Pm 3.74
Pm 0.2750 0.7250 0.7981  1 Tm 3.10, 1 Pr 3.31, 2 Pm 3.40
Pm 0.2940 0.7060 0.1878  2 Pm 3.40, 1 Tm 3.43, 2 Th 3.51, 3 Pr 3.60-3.72
Pm 0.3833 0.6167 0.5066  6 Pm 3.62-3.94, 4 Pr 3.62-3.63, 1 Th 3.83
Pm 0.4837 0.5163 0.2282  2 Tm 3.28-3.42, 2 Pr 3.58, 2 Pm 3.62
Pm 0.5163 0.4837 0.7282  2 Tm 3.28-3.42, 2 Pr 3.58, 2 Pm 3.62
Pm 0.6167 0.3833 0.0066  6 Pm 3.62-3.94, 4 Pr 3.62-3.63, 1 Th 3.83
Pm 0.7060 0.2940 0.6878  2 Pm 3.40, 1 Tm 3.43, 2 Th 3.51, 3 Pr 3.60-3.72
Pm 0.7250 0.2750 0.2981  1 Tm 3.10, 1 Pr 3.31, 2 Pm 3.40
Pm 0.9857 0.0143 0.0000  2 Tm 3.36, 3 Pr 3.45-3.66, 2 Pm 3.74
Pr 0.1149 0.8851 0.2163  1 Th 3.43, 7 Pm 3.53-3.75, 2 Tm 3.77
Pr 0.1150 0.8850 0.7953  8 Pm 3.31-3.63, 1 Th 3.62
Pr 0.8850 0.1150 0.2953  8 Pm 3.31-3.63, 1 Th 3.62
Pr 0.8851 0.1149 0.7163  1 Th 3.43, 7 Pm 3.53-3.75, 2 Tm 3.77
Tm 0.4040 0.5960 0.9459  6 Pm 3.10-3.43
Tm 0.5960 0.4040 0.4459  6 Pm 3.10-3.43
Th 0.1983 0.8017 0.4951  2 Pr 3.43-3.62, 8 Pm 3.51-3.83, 2 Tm 3.59
Th 0.8017 0.1983 0.9951  2 Pr 3.43-3.62, 8 Pm 3.51-3.83, 2 Tm 3.59

Summary:
SG: Cmc2_1
ΔH_f (0 K): 144.7 meV/atom



[3]
First-principles (PBE) data for a relaxed V3RuPt crystal, as listed in the Alexandria database.

Cell: 4.4620 4.4620 4.4620 Å, 90.00 90.00 90.00°
Last column: nearest neighbours and their distance in Å.
Fractional coordinates of all 5 atoms:
V 0.0000 0.0000 0.5000  2 Ru 2.23
V 0.0000 0.5000 0.0000  2 Ru 2.23
V 0.5000 0.0000 0.0000  2 Ru 2.23
Ru 0.0000 0.0000 0.0000  6 V 2.23
Pt 0.5000 0.5000 0.5000  12 V 3.16

Summary:
SG: Pm-3m
ΔH_f (0 K): 921.4 meV/atom



[4]
First-principles (PBE) data for a relaxed NaAlAs2Br crystal, as listed in the Alexandria database.

Cell: 4.7941 4.7941 5.9262 Å, 90.00 90.00 90.00°
Last column: nearest neighbours and their distance in Å.
Fractional coordinates of all 5 atoms:
Na 0.0000 0.0000 0.0000  4 Br 3.39
Al 0.5000 0.5000 0.5000  4 As 2.40
As 0.0000 0.5000 0.5000  2 Al 2.40
As 0.5000 0.0000 0.5000  2 Al 2.40
Br 0.5000 0.5000 0.0000  2 Al 2.96

Summary:
formation energy from raw total energies: -0.089 eV/atom
SG: P4/mmm



[5]
First-principles (PBE) data for a relaxed Ba2TmZnSe5 crystal, as listed in the Alexandria database.

Cell: 9.6965 9.6965 13.2240 Å, 90.00 90.00 154.65°
Last column: nearest neighbours and their distance in Å.
Fractional coordinates of all 18 atoms:
Ba 0.1193 0.8807 0.5000  7 Se 3.26-3.48
Ba 0.1265 0.8735 0.1322  7 Se 3.26-3.51
Ba 0.8735 0.1265 0.6322  7 Se 3.26-3.51
Ba 0.8807 0.1193 0.0000  7 Se 3.26-3.48
Tm 0.2030 0.7970 0.8271  6 Se 2.76-2.91
Tm 0.7970 0.2030 0.3271  6 Se 2.76-2.91
Zn 0.4386 0.5614 0.2438  4 Se 2.43-2.59
Zn 0.5614 0.4386 0.7438  4 Se 2.43-2.59
Se 0.0496 0.9504 0.8435  2 Zn 2.51
Se 0.2984 0.7016 0.4692  2 Tm 2.84
Se 0.3088 0.6912 0.1807  1 Zn 2.59, 2 Tm 2.89
Se 0.3488 0.6512 0.8187  1 Tm 2.76
Se 0.4995 0.5005 0.5828  1 Zn 2.43
Se 0.5005 0.4995 0.0828  1 Zn 2.43
Se 0.6512 0.3488 0.3187  1 Tm 2.76
Se 0.6912 0.3088 0.6807  1 Zn 2.59, 2 Tm 2.89
Se 0.7016 0.2984 0.9692  2 Tm 2.84
Se 0.9504 0.0496 0.3435  2 Zn 2.51

Summary:
formation energy from raw total energies: -1.538 eV/atom
SG: Cmc2_1



[6]
First-principles (PBE) data for a relaxed Tm4MgOs crystal, as listed in the Alexandria database.

Cell: 4.9126 4.9126 8.9200 Å, 106.05 106.05 59.68°
Last column: nearest neighbours and their distance in Å.
Fractional coordinates of all 6 atoms:
Tm 0.1087 0.1087 0.3224  1 Os 2.73
Tm 0.3633 0.3633 0.0891  3 Os 2.92-2.94, 3 Tm 3.21
Tm 0.6367 0.6367 0.9109  3 Os 2.92-2.94, 3 Tm 3.21
Tm 0.8913 0.8913 0.6776  1 Os 2.73
Mg 0.5000 0.5000 0.5000  8 Tm 3.20-3.47
Os 0.0000 0.0000 0.0000  8 Tm 2.73-2.94

Summary:
SG: C2/m
ΔH_f (0 K): 51.0 meV/atom



[7]
First-principles (PBE) data for a relaxed Tc2RhBr crystal, as listed in the Alexandria database.

Cell: 3.7454 3.7454 4.4873 Å, 90.00 90.00 90.00°
Last column: nearest neighbours and their distance in Å.
Fractional coordinates of all 4 atoms:
Tc 0.0000 0.5000 0.0000  4 Tc 2.65, 4 Br 2.92, 4 Rh 2.92
Tc 0.5000 0.0000 0.0000  4 Tc 2.65, 4 Br 2.92, 4 Rh 2.92
Rh 0.0000 0.0000 0.5000  4 Br 2.65, 8 Tc 2.92
Br 0.5000 0.5000 0.5000  4 Rh 2.65, 8 Tc 2.92

Summary:
formation energy from raw total energies: 1.022 eV/atom
SG: P4/mmm



[8]
First-principles (PBE) data for a relaxed Be2NiSb crystal, as listed in the Alexandria database.

Cell: 8.2455 8.2455 8.2455 Å, 153.11 153.11 38.39°
Last column: nearest neighbours and their distance in Å.
Fractional coordinates of all 8 atoms:
Be 0.0146 0.6250 0.8896  2 Be 2.20, 2 Ni 2.23
Be 0.3750 0.2646 0.3896  2 Be 2.20, 2 Ni 2.23
Be 0.7354 0.1250 0.1104  2 Be 2.20, 2 Ni 2.23
Be 0.8750 0.9854 0.6104  2 Be 2.20, 2 Ni 2.23
Ni 0.0000 0.0000 0.0000  4 Be 2.23
Ni 0.7500 0.2500 0.5000  4 Be 2.23
Sb 0.2500 0.7500 0.5000  4 Be 2.57, 4 Ni 2.71
Sb 0.5000 0.5000 0.0000  4 Be 2.57, 4 Ni 2.71

Summary:
formation energy from raw total energies: 0.252 eV/atom
SG: I-42d



[9]
First-principles (PBE) data for a relaxed AgMoIr crystal, as listed in the Alexandria database.

Cell: 2.7892 2.7892 7.1456 Å, 90.00 90.00 120.00°
Last column: nearest neighbours and their distance in Å.
Fractional coordinates of all 3 atoms:
Ag 0.0000 0.0000 0.0000  6 Ag 2.79, 3 Ir 2.98, 3 Mo 3.00
Mo 0.6667 0.3333 0.6462  3 Ir 2.65, 6 Mo 2.79
Ir 0.3333 0.6667 0.3509  3 Mo 2.65, 6 Ir 2.79

Summary:
SG: P3m1
ΔH_f (0 K): 121.0 meV/atom



[10]
First-principles (PBE) data for a relaxed HgAuCl2 crystal, as listed in the Alexandria database.

Cell: 5.5849 3.5904 5.6351 Å, 90.00 107.76 90.00°
Last column: nearest neighbours and their distance in Å.
Fractional coordinates of all 4 atoms:
Hg 0.0000 0.0000 0.0000  2 Cl 2.61, 2 Au 2.72
Au 0.2261 0.5000 0.7766  2 Cl 2.53, 2 Hg 2.72
Cl 0.4259 0.0000 0.5836  2 Au 2.53
Cl 0.7947 0.5000 0.2113  2 Hg 2.61

Summary:
formation energy from raw total energies: -0.243 eV/atom
SG: Pm



[11]
First-principles (PBE) data for a relaxed ZnHg3Se crystal, as listed in the Alexandria database.

Cell: 5.1961 5.1961 5.1961 Å, 90.00 90.00 90.00°
Last column: nearest neighbours and their distance in Å.
Fractional coordinates of all 5 atoms:
Zn 0.0000 0.0000 0.0000  6 Hg 2.60
Hg 0.0000 0.0000 0.5000  2 Zn 2.60
Hg 0.0000 0.5000 0.0000  2 Zn 2.60
Hg 0.5000 0.0000 0.0000  2 Zn 2.60
Se 0.5000 0.5000 0.5000  12 Hg 3.67

Summary:
formation energy from raw total energies: 0.268 eV/atom
SG: Pm-3m



[12]
First-principles (PBE) data for a relaxed Y2GeBiSb crystal, as listed in the Alexandria database.

Cell: 5.6755 5.6755 5.7847 Å, 90.00 90.00 90.00°
Last column: nearest neighbours and their distance in Å.
Fractional coordinates of all 5 atoms:
Y 0.0000 0.5000 0.0000  2 Sb 2.84
Y 0.5000 0.0000 0.0000  2 Sb 2.84
Ge 0.0000 0.0000 0.5000  4 Bi 4.01, 8 Y 4.05
Bi 0.5000 0.5000 0.5000  2 Sb 2.89
Sb 0.5000 0.5000 0.0000  4 Y 2.84, 2 Bi 2.89

Summary:
formation energy from raw total energies: 0.310 eV/atom
SG: P4/mmm



For each record above, in turn, the calculated DOS at the Fermi energy values are 10.7, 26.2, 7.6, 4.0, 12.3, 7.5, 5.8, 3.9, 1.6, 0.9, 5.2, 3.9 states/eV/cell.